VASP calculation (PBE) on crystalline RbCoReAu at its relaxed geometry.

Cell: 4.680 4.680 4.680 Å, 60.00 60.00 60.00°
Fractional coordinates of all 4 atoms:
Au 0.750 0.750 0.750
Co 0.500 0.500 0.500
Rb 0.250 0.250 0.250
Re 0.000 0.000 0.000

- Relative energy among the computed polymorphs: 4.60 kcal/mol of atoms



VASP calculation (PBE) on crystalline InCuNiPd at its relaxed geometry.

Cell: 4.344 4.344 4.344 Å, 60.00 60.00 60.00°
Fractional coordinates of all 4 atoms:
In 0.000 0.000 0.000
Pd 0.500 0.500 0.500
Ni 0.250 0.250 0.250
Cu 0.750 0.750 0.750

- Relative energy among the computed polymorphs: 0.00 kcal/mol of atoms



VASP calculation (PBE) on crystalline Nd4S3Br6 at its relaxed geometry.

Cell: 15.263 15.263 7.211 Å, 94.62 94.62 26.23°
Fractional coordinates of all 26 atoms:
Br 0.183 0.348 0.685
Br 0.751 0.938 0.555
Br 0.158 0.945 0.110
Br 0.062 0.249 0.945
Br 0.945 0.158 0.610
Br 0.348 0.183 0.185
Br 0.652 0.817 0.815
Br 0.249 0.062 0.445
Br 0.055 0.842 0.390
Br 0.817 0.652 0.315
Br 0.842 0.055 0.890
Br 0.938 0.751 0.055
S 0.449 0.551 0.750
S 0.551 0.449 0.250
S 0.667 0.566 0.291
S 0.434 0.333 0.209
S 0.333 0.434 0.709
S 0.566 0.667 0.791
Nd 0.523 0.136 0.906
Nd 0.253 0.634 0.015
Nd 0.477 0.864 0.094
Nd 0.747 0.366 0.985
Nd 0.136 0.523 0.406
Nd 0.864 0.477 0.594
Nd 0.634 0.253 0.515
Nd 0.366 0.747 0.485

- Calculated total energy: -5.1392 eV per atom



VASP calculation (PBE) on crystalline Pm2InAu2 at its relaxed geometry.

Cell: 8.052 8.052 3.892 Å, 90.00 90.00 90.00°
Fractional coordinates of all 10 atoms:
Pm 0.172 0.672 0.500
Pm 0.672 0.828 0.500
Pm 0.328 0.172 0.500
Pm 0.828 0.328 0.500
Au 0.628 0.128 0.000
Au 0.372 0.872 0.000
Au 0.872 0.628 0.000
Au 0.128 0.372 0.000
In 0.500 0.500 0.000
In 0.000 0.000 0.000

- Calculated total energy: -4.5399 eV per atom



VASP calculation (PBE) on crystalline PmBAs at its relaxed geometry.

Cell: 4.636 4.636 4.636 Å, 60.00 60.00 60.00°
Fractional coordinates of all 3 atoms:
Pm 0.250 0.250 0.250
B 0.000 0.000 0.000
As 0.500 0.500 0.500

- Relative energy among the computed polymorphs: 9.48 kcal/mol of atoms



VASP calculation (PBE) on crystalline Y3Ni2 at its relaxed geometry.

Cell: 6.720 6.720 7.231 Å, 117.69 62.31 120.00°
Fractional coordinates of all 10 atoms:
Y 0.250 0.125 0.250
Y 0.750 0.875 0.750
Y 0.375 0.250 0.750
Y 0.125 0.625 0.750
Y 0.875 0.375 0.250
Y 0.625 0.750 0.250
Ni 0.316 0.684 0.052
Ni 0.184 0.816 0.448
Ni 0.684 0.316 0.948
Ni 0.816 0.184 0.552

- Formation energy from the elements: -289 meV/atom
- Relative energy among the computed polymorphs: 0.62 kcal/mol of atoms



VASP calculation (PBE) on crystalline LuReHg at its relaxed geometry.

Cell: 4.680 4.680 4.680 Å, 60.00 60.00 60.00°
Fractional coordinates of all 3 atoms:
Re 0.000 0.000 0.000
Lu 0.750 0.750 0.750
Hg 0.250 0.250 0.250

- Formation energy from the elements: 812 meV/atom
- Relative energy among the computed polymorphs: 0.00 kcal/mol of atoms



VASP calculation (PBE) on crystalline DyCdPd at its relaxed geometry.

Cell: 4.700 4.700 4.700 Å, 60.00 60.00 60.00°
Fractional coordinates of all 3 atoms:
Cd 0.250 0.250 0.250
Dy 0.750 0.750 0.750
Pd 0.000 0.000 0.000

- Formation energy from the elements: -575 meV/atom



VASP calculation (PBE) on crystalline TbSnIr at its relaxed geometry.

Cell: 8.294 8.294 3.196 Å, 90.00 90.00 120.00°
Fractional coordinates of all 9 atoms:
Ir 0.359 0.359 0.500
Ir 0.641 0.000 0.500
Ir 0.000 0.641 0.500
Sn 0.333 0.667 0.000
Sn 0.667 0.333 0.000
Sn 0.000 0.000 0.500
Tb 0.302 0.000 0.000
Tb 0.698 0.698 0.000
Tb 0.000 0.302 0.000

- Calculated total energy: -6.0399 eV per atom



VASP calculation (PBE) on crystalline GdGaI at its relaxed geometry.

Cell: 4.225 4.225 12.061 Å, 90.00 90.00 120.00°
Fractional coordinates of all 6 atoms:
I 0.667 0.333 0.164
I 0.333 0.667 0.836
Gd 0.000 0.000 0.331
Gd 0.000 0.000 0.669
Ga 0.333 0.667 0.473
Ga 0.667 0.333 0.527

- Calculated total energy: -4.1326 eV per atom



VASP calculation (PBE) on crystalline PrZn2 at its relaxed geometry.

Cell: 12.764 9.135 4.561 Å, 90.00 90.00 77.65°
Fractional coordinates of all 24 atoms:
Zn 0.606 0.070 0.000
Zn 0.176 0.049 0.500
Zn 0.965 0.734 0.500
Zn 0.223 0.174 0.000
Zn 0.692 0.515 0.500
Zn 0.583 0.551 0.000
Zn 0.611 0.811 0.500
Zn 0.020 0.596 0.000
Zn 0.502 0.846 0.000
Zn 0.901 0.476 0.500
Zn 0.174 0.765 0.500
Zn 0.229 0.627 0.000
Zn 0.293 0.885 0.000
Zn 0.971 0.188 0.500
Zn 0.018 0.312 0.000
Zn 0.588 0.291 0.500
Pr 0.160 0.417 0.500
Pr 0.416 0.343 0.000
Pr 0.422 0.649 0.500
Pr 0.773 0.712 0.000
Pr 0.034 0.944 0.000
Pr 0.778 0.018 0.500
Pr 0.414 0.067 0.500
Pr 0.780 0.294 0.000

- Formation energy from the elements: -289 meV/atom



VASP calculation (PBE) on crystalline AcPmBi at its relaxed geometry.

Cell: 5.489 5.489 5.489 Å, 60.00 60.00 60.00°
Fractional coordinates of all 3 atoms:
Pm 0.750 0.750 0.750
Bi 0.000 0.000 0.000
Ac 0.250 0.250 0.250

- Relative energy among the computed polymorphs: 0.00 kcal/mol of atoms



VASP calculation (PBE) on crystalline RbPmIr at its relaxed geometry.

Cell: 5.050 5.050 5.050 Å, 60.00 60.00 60.00°
Fractional coordinates of all 3 atoms:
Rb 0.250 0.250 0.250
Ir 0.000 0.000 0.000
Pm 0.750 0.750 0.750

- Relative energy among the computed polymorphs: 0.00 kcal/mol of atoms



VASP calculation (PBE) on crystalline BaGd2S4 at its relaxed geometry.

Cell: 12.340 4.089 14.674 Å, 90.00 90.00 90.00°
Fractional coordinates of all 28 atoms:
S 0.375 0.750 0.977
S 0.419 0.250 0.422
S 0.793 0.750 0.834
S 0.707 0.250 0.334
S 0.625 0.250 0.023
S 0.523 0.250 0.783
S 0.977 0.750 0.283
S 0.293 0.750 0.666
S 0.207 0.250 0.166
S 0.023 0.250 0.717
S 0.081 0.750 0.922
S 0.875 0.750 0.523
S 0.581 0.750 0.578
S 0.477 0.750 0.217
S 0.919 0.250 0.078
S 0.125 0.250 0.477
Gd 0.932 0.250 0.892
Gd 0.421 0.250 0.102
Gd 0.068 0.750 0.108
Gd 0.921 0.250 0.398
Gd 0.432 0.250 0.608
Gd 0.079 0.750 0.602
Gd 0.579 0.750 0.898
Gd 0.568 0.750 0.392
Ba 0.758 0.250 0.661
Ba 0.258 0.250 0.839
Ba 0.242 0.750 0.339
Ba 0.742 0.750 0.161

- Calculated total energy: -6.0996 eV per atom



VASP calculation (PBE) on crystalline Y2GeMo at its relaxed geometry.

Cell: 4.918 4.918 4.918 Å, 60.00 60.00 60.00°
Fractional coordinates of all 4 atoms:
Mo 0.250 0.250 0.250
Ge 0.500 0.500 0.500
Y 0.750 0.750 0.750
Y 0.000 0.000 0.000

- Calculated total energy: -6.9750 eV per atom



VASP calculation (PBE) on crystalline NiMoP8 at its relaxed geometry.

Cell: 6.239 6.239 8.762 Å, 90.00 90.00 120.00°
Fractional coordinates of all 20 atoms:
P 0.667 0.333 0.536
P 0.724 0.045 0.847
P 0.276 0.955 0.153
P 0.320 0.276 0.847
P 0.045 0.320 0.153
P 0.724 0.680 0.653
P 0.680 0.955 0.347
P 0.045 0.724 0.347
P 0.333 0.667 0.036
P 0.680 0.724 0.153
P 0.955 0.680 0.847
P 0.320 0.045 0.653
P 0.955 0.276 0.653
P 0.667 0.333 0.964
P 0.333 0.667 0.464
P 0.276 0.320 0.347
Mo 0.333 0.667 0.750
Mo 0.667 0.333 0.250
Ni 0.000 0.000 0.000
Ni 0.000 0.000 0.500

- Calculated total energy: -6.2454 eV per atom



VASP calculation (PBE) on crystalline Zr3Si4Ir at its relaxed geometry.

Cell: 5.229 3.855 6.649 Å, 90.00 92.48 90.00°
Fractional coordinates of all 8 atoms:
Zr 0.860 0.000 0.323
Zr 0.637 0.000 0.824
Zr 0.121 0.500 0.682
Si 0.165 0.000 0.984
Si 0.626 0.500 0.536
Si 0.359 0.000 0.429
Si 0.855 0.500 0.055
Ir 0.377 0.500 0.166

- Calculated total energy: -7.7286 eV per atom



VASP calculation (PBE) on crystalline TmHfTa at its relaxed geometry.

Cell: 4.780 4.780 4.780 Å, 60.00 60.00 60.00°
Fractional coordinates of all 3 atoms:
Ta 0.250 0.250 0.250
Tm 0.750 0.750 0.750
Hf 0.000 0.000 0.000

- Formation energy from the elements: 1110 meV/atom
- Relative energy among the computed polymorphs: 0.00 kcal/mol of atoms



VASP calculation (PBE) on crystalline Cs3KAg2Sb2 at its relaxed geometry.

Cell: 7.051 6.810 7.253 Å, 90.00 106.69 90.00°
Fractional coordinates of all 8 atoms:
Sb 0.231 0.000 0.258
Sb 0.755 0.500 0.741
Ag 0.001 0.750 0.993
Ag 0.001 0.250 0.993
Cs 0.525 0.500 0.177
Cs 0.180 0.500 0.512
Cs 0.480 0.000 0.827
K 0.826 0.000 0.498

- Calculated total energy: -2.5886 eV per atom



VASP calculation (PBE) on crystalline GdHo2Er at its relaxed geometry.

Cell: 7.188 7.188 5.615 Å, 90.00 90.00 120.01°
Fractional coordinates of all 8 atoms:
Gd 0.667 0.333 0.250
Gd 0.333 0.667 0.750
Ho 0.834 0.668 0.750
Ho 0.668 0.834 0.250
Ho 0.332 0.166 0.750
Ho 0.166 0.332 0.250
Er 0.166 0.834 0.250
Er 0.834 0.166 0.750

- Formation energy from the elements: 5 meV/atom



VASP calculation (PBE) on crystalline NaGdPb at its relaxed geometry.

Cell: 5.187 5.187 5.187 Å, 60.00 60.00 60.00°
Fractional coordinates of all 3 atoms:
Na 0.250 0.250 0.250
Gd 0.000 0.000 0.000
Pb 0.750 0.750 0.750

- Relative energy among the computed polymorphs: 7.44 kcal/mol of atoms



VASP calculation (PBE) on crystalline SrZrB4 at its relaxed geometry.

Cell: 3.237 3.237 7.952 Å, 90.00 90.00 120.00°
Fractional coordinates of all 6 atoms:
B 0.667 0.333 0.717
B 0.333 0.667 0.283
B 0.667 0.333 0.283
B 0.333 0.667 0.717
Zr 0.000 0.000 0.500
Sr 0.000 0.000 0.000

- Relative energy among the computed polymorphs: 0.00 kcal/mol of atoms



VASP calculation (PBE) on crystalline Hf4Zn3W2N3 at its relaxed geometry.

Cell: 5.460 5.460 13.813 Å, 101.12 101.12 60.19°
Fractional coordinates of all 24 atoms:
Hf 0.304 0.137 0.903
Hf 0.696 0.863 0.097
Hf 0.137 0.304 0.403
Hf 0.863 0.696 0.597
Hf 0.200 0.027 0.597
Hf 0.800 0.973 0.403
Hf 0.973 0.800 0.903
Hf 0.027 0.200 0.097
N 0.676 0.148 0.000
N 0.852 0.324 0.500
N 0.500 0.000 0.500
N 0.324 0.852 0.000
N 0.148 0.676 0.500
N 0.000 0.500 0.000
Zn 0.417 0.303 0.249
Zn 0.303 0.417 0.749
Zn 0.863 0.137 0.750
Zn 0.583 0.697 0.751
Zn 0.697 0.583 0.251
Zn 0.137 0.863 0.250
W 0.475 0.638 0.422
W 0.638 0.475 0.922
W 0.525 0.362 0.578
W 0.362 0.525 0.078

- Calculated total energy: -8.5487 eV per atom



What V values result from the calculations? In sequence: 72.5; 58.0; 369.9; 126.2; 70.4; 119.3; 72.5; 73.4; 63.5; 93.2; 64.9; 116.9; 91.0; 185.1; 84.1; 147.7; 133.9; 77.2; 333.6; 125.6; 98.7; 72.2; 174.1 Å³/f.u..